[1]
Material: Al11Ni4
Method: DFT, PBE-GGA
State: relaxed

E_tot	-129.0	eV per cell
SG	P4_2/mnm (136)
spin magnetization	0.00	μB/f.u.

abc: 9.2662 9.2662 5.0449
angles: 90.00 90.00 90.00
Closest atoms and distances in Å follow each position.
Positions (direct):
Al (0.0000, 0.0000, 0.0000)  4 Ni 2.57, 8 Al 2.58-2.82
Al (0.0482, 0.3649, 0.5000)  6 Al 2.53-2.69
Al (0.0750, 0.2681, 0.0000)  6 Al 2.53-2.69, 4 Ni 2.73-2.76
Al (0.0955, 0.0955, 0.5000)  3 Al 2.50-2.53
Al (0.1351, 0.5482, 0.0000)  6 Al 2.53-2.69
Al (0.2319, 0.5750, 0.5000)  6 Al 2.53-2.69, 4 Ni 2.73-2.76
Al (0.2681, 0.0750, 0.0000)  6 Al 2.53-2.69, 4 Ni 2.73-2.76
Al (0.3649, 0.0482, 0.5000)  6 Al 2.53-2.69
Al (0.4045, 0.5955, 0.0000)  3 Al 2.50-2.53
Al (0.4250, 0.7681, 0.5000)  6 Al 2.53-2.69, 4 Ni 2.73-2.76
Al (0.4518, 0.8649, 0.0000)  6 Al 2.53-2.69
Al (0.5000, 0.5000, 0.5000)  4 Ni 2.57, 8 Al 2.58-2.82
Al (0.5482, 0.1351, 0.0000)  6 Al 2.53-2.69
Al (0.5750, 0.2319, 0.5000)  6 Al 2.53-2.69, 4 Ni 2.73-2.76
Al (0.5955, 0.4045, 0.0000)  3 Al 2.50-2.53
Al (0.6351, 0.9518, 0.5000)  6 Al 2.53-2.69
Al (0.7319, 0.9250, 0.0000)  6 Al 2.53-2.69, 4 Ni 2.73-2.76
Al (0.7681, 0.4250, 0.5000)  6 Al 2.53-2.69, 4 Ni 2.73-2.76
Al (0.8649, 0.4518, 0.0000)  6 Al 2.53-2.69
Al (0.9045, 0.9045, 0.5000)  3 Al 2.50-2.53
Al (0.9250, 0.7319, 0.0000)  6 Al 2.53-2.69, 4 Ni 2.73-2.76
Al (0.9518, 0.6351, 0.5000)  6 Al 2.53-2.69
Ni (0.1702, 0.8298, 0.2518)  2 Ni 2.50-2.54, 5 Al 2.57-2.76
Ni (0.1702, 0.8298, 0.7482)  2 Ni 2.50-2.54, 5 Al 2.57-2.76
Ni (0.3298, 0.3298, 0.2482)  2 Ni 2.50-2.54, 5 Al 2.57-2.76
Ni (0.3298, 0.3298, 0.7518)  2 Ni 2.50-2.54, 5 Al 2.57-2.76
Ni (0.6702, 0.6702, 0.2482)  2 Ni 2.50-2.54, 5 Al 2.57-2.76
Ni (0.6702, 0.6702, 0.7518)  2 Ni 2.50-2.54, 5 Al 2.57-2.76
Ni (0.8298, 0.1702, 0.2518)  2 Ni 2.50-2.54, 5 Al 2.57-2.76
Ni (0.8298, 0.1702, 0.7482)  2 Ni 2.50-2.54, 5 Al 2.57-2.76

---

[2]
Material: Sc2NbTl
Method: DFT, PBE-GGA
State: relaxed

E_tot	-24.4	eV per cell
SG	F-43m (216)
spin magnetization	0.07	μB/f.u.

abc: 4.9209 4.9209 4.9209
angles: 60.00 60.00 60.00
Closest atoms and distances in Å follow each position.
Positions (direct):
Sc (0.0000, 0.0000, 0.0000)  4 Tl 3.01, 4 Sc 3.01
Sc (0.2500, 0.2500, 0.2500)  4 Nb 3.01, 4 Sc 3.01
Nb (0.5000, 0.5000, 0.5000)  4 Tl 3.01, 4 Sc 3.01
Tl (0.7500, 0.7500, 0.7500)  4 Nb 3.01, 4 Sc 3.01

---

[3]
Material: NdHoAl2I2
Method: DFT, PBE-GGA
State: relaxed

E_tot	-25.3	eV per cell
SG	P3m1 (156)
spin magnetization	0.00	μB/f.u.

abc: 4.3225 4.3225 12.3306
angles: 90.00 90.00 120.00
Closest atoms and distances in Å follow each position.
Positions (direct):
Nd (0.0000, 0.0000, 0.0000)  6 Al 3.17-3.42, 3 I 3.24
Ho (0.0000, 0.0000, 0.3379)  6 Al 3.09-3.34, 3 I 3.15
Al (0.3333, 0.6667, 0.1897)  3 Al 2.53
Al (0.6667, 0.3333, 0.1584)  3 Al 2.53
I (0.3333, 0.6667, 0.8331)  3 Nd 3.24
I (0.6667, 0.3333, 0.4943)  3 Ho 3.15

---

[4]
Material: Y2TmSc3As2Os
Method: DFT, PBE-GGA
State: relaxed

E_tot	-64.7	eV per cell
SG	Amm2 (38)
spin magnetization	0.02	μB/f.u.

abc: 4.0841 7.5237 7.5237
angles: 120.08 90.00 90.00
Closest atoms and distances in Å follow each position.
Positions (direct):
Y (0.0000, 0.2034, 0.7966)  4 As 3.06-3.07, 1 Os 3.09, 6 Sc 3.35-3.36
Y (0.0000, 0.7966, 0.2034)  4 As 3.06-3.07, 1 Os 3.09, 6 Sc 3.35-3.36
Tm (0.0000, 0.6089, 0.6089)  1 Os 2.99, 4 As 3.05, 4 Sc 3.34
Sc (0.5000, 0.2045, 0.4427)  2 Os 2.70, 2 As 2.92-2.95
Sc (0.5000, 0.4427, 0.2045)  2 Os 2.70, 2 As 2.92-2.95
Sc (0.5000, 0.9693, 0.9693)  2 Os 2.73, 2 As 2.94
As (0.5000, 0.5382, 0.8686)  3 Sc 2.92-2.95, 2 Tm 3.05, 4 Y 3.06-3.07
As (0.5000, 0.8686, 0.5382)  3 Sc 2.92-2.95, 2 Tm 3.05, 4 Y 3.06-3.07
Os (0.0000, 0.2106, 0.2106)  6 Sc 2.70-2.73, 1 Tm 2.99